PBE HfCuNi2, optimized geometry; ΔE_f = -0.85 eV per formula unit
1.0
3.118 -2.881 0.047
-0.316 -3.509 -2.369
2.486 -0.493 -3.406
Ni Hf Cu
2 1 1
Cartesian
0.000 0.000 0.000
3.967 -5.162 -4.296
1.322 -1.721 -1.432
2.644 -3.442 -2.864